(1)
DFT (PBE-GGA) results for crystalline Ba5Bi2SbAs at its relaxed geometry.

Calculated values
Its crystal system is orthorhombic. For the total energy, the calculation gives -0.13353 Ha/atom.

CIF file:
```
data_Ba5Bi2SbAs
_chemical_formula_sum 'Ba10 Bi4 Sb2 As2'
_symmetry_space_group_name_H-M 'I m m m'
_symmetry_Int_Tables_number 71
_symmetry_space_group_name_Hall '-I 2 2'
_cell_length_a 5.792
_cell_length_b 8.413
_cell_length_c 17.641
_cell_angle_alpha 90.00
_cell_angle_beta 90.00
_cell_angle_gamma 90.00
loop_
_atom_site_label
_atom_site_type_symbol
_atom_site_fract_x
_atom_site_fract_y
_atom_site_fract_z
_atom_site_occupancy
Ba1 Ba 0.000 0.000 0.000 1
Ba2 Ba 0.000 0.239 0.364 1
Bi1 Bi 0.000 0.000 0.197 1
Sb1 Sb 0.000 0.500 0.000 1
As1 As 0.000 0.500 0.500 1
```


(2)
DFT (PBE-GGA) results for crystalline Ba2Sc2Bi2As at its relaxed geometry.

Calculated values
Its crystal system is tetragonal. For the total energy, the calculation gives -0.18641 Ha/atom. The formation energy is -90.8 kJ per mole of atoms.

CIF file:
```
data_Ba2Sc2Bi2As
_chemical_formula_sum 'Ba4 Sc4 Bi4 As2'
_symmetry_space_group_name_H-M 'I 4/m m m'
_symmetry_Int_Tables_number 139
_symmetry_space_group_name_Hall '-I 4 2'
_cell_length_a 5.134
_cell_length_b 5.134
_cell_length_c 18.119
_cell_angle_alpha 90.00
_cell_angle_beta 90.00
_cell_angle_gamma 90.00
loop_
_atom_site_label
_atom_site_type_symbol
_atom_site_fract_x
_atom_site_fract_y
_atom_site_fract_z
_atom_site_occupancy
Ba1 Ba 0.000 0.000 0.174 1
Sc1 Sc 0.000 0.500 0.000 1
Bi1 Bi 0.000 0.000 0.383 1
As1 As 0.000 0.000 0.000 1
```


(3)
DFT (PBE-GGA) results for crystalline BaBiAsSe2 at its relaxed geometry.

Calculated values
Its crystal system is tetragonal. For the total energy, the calculation gives -0.10597 Ha/atom.

CIF file:
```
data_BaBiAsSe2
_chemical_formula_sum 'Ba1 Bi1 As1 Se2'
_symmetry_space_group_name_H-M 'P 4/m m m'
_symmetry_Int_Tables_number 123
_symmetry_space_group_name_Hall '-P 4 2'
_cell_length_a 5.995
_cell_length_b 5.995
_cell_length_c 6.055
_cell_angle_alpha 90.00
_cell_angle_beta 90.00
_cell_angle_gamma 90.00
loop_
_atom_site_label
_atom_site_type_symbol
_atom_site_fract_x
_atom_site_fract_y
_atom_site_fract_z
_atom_site_occupancy
Ba1 Ba 0.000 0.000 0.000 1
Bi1 Bi 0.500 0.500 0.500 1
As1 As 0.000 0.000 0.500 1
Se1 Se 0.000 0.500 0.000 1
```


(4)
DFT (PBE-GGA) results for crystalline BaBiAs2Se8 at its relaxed geometry.

Calculated values
Its crystal system is trigonal. For the total energy, the calculation gives -0.14455 Ha/atom.

CIF file:
```
data_BaBiAs2Se8
_chemical_formula_sum 'Ba1 Bi1 As2 Se8'
_symmetry_space_group_name_H-M 'P -3'
_symmetry_Int_Tables_number 147
_cell_length_a 6.3306
_cell_length_b 6.3306
_cell_length_c 10.0098
_cell_angle_alpha 90.00
_cell_angle_beta 90.00
_cell_angle_gamma 120.00
loop_
_symmetry_equiv_pos_as_xyz
'x,y,z'
'-x,-y,-z'
'-y,x-y,z'
'y,-x+y,-z'
'-x+y,-x,z'
'x-y,x,-z'
loop_
_atom_site_label
_atom_site_type_symbol
_atom_site_fract_x
_atom_site_fract_y
_atom_site_fract_z
_atom_site_occupancy
Ba1 Ba 0.0000 0.0000 0.0000 1
Bi1 Bi 0.0000 0.0000 0.5000 1
As1 As 0.3333 0.6667 0.7574 1
Se1 Se 0.0605 0.6760 0.3065 1
Se2 Se 0.3333 0.6667 0.9903 1
```


(5)
DFT (PBE-GGA) results for crystalline BaBiAsSe2 at its relaxed geometry.

Calculated values
Its crystal system is tetragonal. For the total energy, the calculation gives -0.14357 Ha/atom.

CIF file:
```
data_BaBiAsSe2
_chemical_formula_sum 'Ba1 Bi1 As1 Se2'
_symmetry_space_group_name_H-M 'P 4/m m m'
_symmetry_Int_Tables_number 123
_symmetry_space_group_name_Hall '-P 4 2'
_cell_length_a 5.605
_cell_length_b 5.605
_cell_length_c 5.440
_cell_angle_alpha 90.00
_cell_angle_beta 90.00
_cell_angle_gamma 90.00
loop_
_atom_site_label
_atom_site_type_symbol
_atom_site_fract_x
_atom_site_fract_y
_atom_site_fract_z
_atom_site_occupancy
Ba1 Ba 0.000 0.000 0.000 1
Bi1 Bi 0.500 0.500 0.500 1
As1 As 0.500 0.500 0.000 1
Se1 Se 0.000 0.500 0.500 1
```


(6)
DFT (PBE-GGA) results for crystalline Ba2Sn2Bi2As at its relaxed geometry.

Calculated values
Its crystal system is triclinic. For the total energy, the calculation gives -0.14706 Ha/atom. The formation energy is -51.7 kJ per mole of atoms.

CIF file:
```
data_Ba2Sn2Bi2As
_chemical_formula_sum 'Ba2 Sn2 Bi2 As1'
_symmetry_space_group_name_H-M 'P -1'
_symmetry_Int_Tables_number 2
_cell_length_a 4.458
_cell_length_b 7.129
_cell_length_c 8.942
_cell_angle_alpha 110.94
_cell_angle_beta 90.03
_cell_angle_gamma 108.14
loop_
_symmetry_equiv_pos_as_xyz
'x,y,z'
'-x,-y,-z'
loop_
_atom_site_label
_atom_site_type_symbol
_atom_site_fract_x
_atom_site_fract_y
_atom_site_fract_z
_atom_site_occupancy
Ba1 Ba 0.009 0.018 0.268 1
Sn1 Sn 0.281 0.562 0.889 1
Bi1 Bi 0.292 0.585 0.386 1
As1 As 0.500 0.000 0.000 1
```


What did the third record say?
DFT (PBE-GGA) results for crystalline BaBiAsSe2 at its relaxed geometry.

Calculated values
Its crystal system is tetragonal. For the total energy, the calculation gives -0.10597 Ha/atom.

CIF file:
```
data_BaBiAsSe2
_chemical_formula_sum 'Ba1 Bi1 As1 Se2'
_symmetry_space_group_name_H-M 'P 4/m m m'
_symmetry_Int_Tables_number 123
_symmetry_space_group_name_Hall '-P 4 2'
_cell_length_a 5.995
_cell_length_b 5.995
_cell_length_c 6.055
_cell_angle_alpha 90.00
_cell_angle_beta 90.00
_cell_angle_gamma 90.00
loop_
_atom_site_label
_atom_site_type_symbol
_atom_site_fract_x
_atom_site_fract_y
_atom_site_fract_z
_atom_site_occupancy
Ba1 Ba 0.000 0.000 0.000 1
Bi1 Bi 0.500 0.500 0.500 1
As1 As 0.000 0.000 0.500 1
Se1 Se 0.000 0.500 0.000 1
```